Record 1
This record from Alexandria describes a relaxed SrCu2Cl5 crystal. The functional is PBE.

Formation energy (no corrections): -1160 meV per atom
V: 893.4 Å³ per cell

a = 5.5995 Å, b = 11.3464 Å, c = 14.0616 Å
α = 90.00°, β = 90.00°, γ = 90.00°
Last column: nearest neighbours and their distance in Å.
Space group Cmcm (No. 63)
Unique sites:
1 Sr 0.0000 0.2193 0.2500 x4  6 Cl 2.80-3.02
2 Cu 0.0000 0.1344 0.5102 x8  3 Cl 2.23-2.36
3 Cl 0.0000 0.0058 0.1213 x8  2 Cu 2.23-2.36
4 Cl 0.0000 0.2910 0.7500 x4  2 Sr 2.80
5 Cl 0.0000 0.3140 0.0539 x8  1 Cu 2.23

Record 2
This record from Alexandria describes a relaxed Rb2Sn2O5 crystal. The functional is PBE.

Formation energy (no corrections): -1513 meV per atom
V: 353.4 Å³ per cell

a = 11.9034 Å, b = 4.0126 Å, c = 7.4727 Å
α = 90.00°, β = 98.07°, γ = 90.00°
Last column: nearest neighbours and their distance in Å.
Space group C2/m (No. 12)
Unique sites:
1 Rb 0.1101 0.0000 0.3715 x4  4 O 2.82-3.11
2 Sn 0.1461 0.5000 0.8984 x4  5 O 1.93-2.13
3 O 0.0000 0.5000 0.0000 x2  2 Sn 1.99
4 O 0.1314 0.5000 0.6385 x4  1 Sn 1.93
5 O 0.1808 0.0000 0.9867 x4  3 Sn 2.12-2.13

Record 3
This record from Alexandria describes a relaxed LaFe2Pb crystal. The functional is PBE.

V: 82.5 Å³ per cell
Total DFT energy (no corrections): -24.11 eV per formula unit

a = 4.7387 Å, b = 4.7387 Å, c = 3.6729 Å
α = 90.00°, β = 90.00°, γ = 90.00°
Last column: nearest neighbours and their distance in Å.
Space group P4/mmm (No. 123)
Unique sites:
1 La 0.0000 0.0000 0.0000 x1  8 Fe 3.00, 4 Pb 3.35
2 Fe 0.0000 0.5000 0.5000 x2  4 La 3.00, 4 Pb 3.00, 4 Fe 3.35
3 Pb 0.5000 0.5000 0.0000 x1  8 Fe 3.00, 4 La 3.35